# 1
The following is a DFT calculation (GGA-PBE) of a relaxed structure of Sc3NiSn3Ru2.

Lattice parameters (Å, degrees): 3.4390 7.4849 7.4849 120.00 90.00 90.00
Element x y z (fractional)
Sc1 0.0000 0.6043 0.6043
Sc2 0.0000 0.0000 0.3957
Sc3 0.0000 0.3957 0.0000
Ni1 0.0000 0.0000 0.0000
Sn1 0.5000 0.7326 0.0000
Sn2 0.5000 0.0000 0.7326
Sn3 0.5000 0.2674 0.2674
Ru1 0.5000 0.6667 0.3333
Ru2 0.5000 0.3333 0.6667

## Properties
- M_tot (μB/cell) = 0.00
- formation enthalpy at 0 K (eV/atom) = -0.58

***

# 2
The following is a DFT calculation (GGA-PBE) of a relaxed structure of Al2AsPdS.

Lattice parameters (Å, degrees): 4.5388 4.8248 4.5388 90.00 90.00 90.00
Element x y z (fractional)
As1 0.0000 0.5000 0.0000
S1 0.0000 0.0000 0.0000
Pd1 0.5000 0.5000 0.5000
Al1 0.0000 0.0000 0.5000
Al2 0.5000 0.0000 0.0000

## Properties
- M_tot (μB/cell) = 0.00
- E_form (uncorrected) (meV per atom) = 450.7

***

# 3
The following is a DFT calculation (GGA-PBE) of a relaxed structure of CePm3Ir2.

Lattice parameters (Å, degrees): 4.3083 8.6087 10.4921 68.96 78.15 75.51
Site moments in Bohr magnetons follow the coordinates.
Element x y z (fractional)
Ce1 0.4414 0.4574 0.6598  0.55
Ce2 0.5586 0.5426 0.3402  0.55
Pm1 0.0567 0.0865 0.8002  0.02
Pm2 0.9433 0.9135 0.1998  0.02
Pm3 0.6725 0.6895 0.9655  0.03
Pm4 0.3275 0.3105 0.0345  0.03
Pm5 0.7984 0.8163 0.5869  0.03
Pm6 0.2016 0.1837 0.4131  0.03
Ir1 0.8706 0.4211 0.8377  -0.02
Ir2 0.1294 0.5789 0.1623  -0.02
Ir3 0.6201 0.1550 0.6047  -0.01
Ir4 0.3799 0.8450 0.3953  -0.01

## Properties
- M_tot (μB/cell) = 1.63
- formation enthalpy at 0 K (eV/atom) = -0.54

***

# 4
The following is a DFT calculation (GGA-PBE) of a relaxed structure of Pr6TlCd.

Lattice parameters (Å, degrees): 6.9209 6.9209 9.3031 109.35 109.35 123.74
Element x y z (fractional)
Pr1 0.2748 0.2748 0.7511
Pr2 0.3109 0.8705 0.2489
Pr3 0.7252 0.7252 0.2489
Pr4 0.1295 0.6891 0.7511
Pr5 0.6891 0.1295 0.7511
Pr6 0.8705 0.3109 0.2489
Tl1 0.5000 0.5000 0.5000
Cd1 0.0000 0.0000 0.0000

## Properties
- M_tot (μB/cell) = 0.00
- formation enthalpy at 0 K (eV/atom) = -0.01
- distance to the lowest polymorph of the same formula (eV per atom) = 0.1483

***

# 5
The following is a DFT calculation (GGA-PBE) of a relaxed structure of La12Pr7Cd.

Lattice parameters (Å, degrees): 10.2340 10.2340 10.2340 109.47 109.47 109.47
Element x y z (fractional)
La1 0.5173 0.7595 0.7579
La2 0.0016 0.7595 0.2421
La3 0.4827 0.2405 0.2421
La4 0.9984 0.2405 0.7579
La5 0.7579 0.9984 0.2405
La6 0.7579 0.5173 0.7595
La7 0.2421 0.0016 0.7595
La8 0.2421 0.4827 0.2405
La9 0.7595 0.7579 0.5173
La10 0.2405 0.2421 0.4827
La11 0.7595 0.2421 0.0016
La12 0.2405 0.7579 0.9984
Pr1 0.5000 0.5000 0.0000
Pr2 0.0000 0.5000 0.5000
Pr3 0.5000 0.0000 0.5000
Pr4 0.5000 0.5000 0.5000
Pr5 0.0000 0.0000 0.5000
Pr6 0.5000 0.0000 0.0000
Pr7 0.0000 0.5000 0.0000
Cd1 0.0000 0.0000 0.0000

## Properties
- M_tot (μB/cell) = 0.00
- formation enthalpy at 0 K (eV/atom) = 0.50

***

# 6
The following is a DFT calculation (GGA-PBE) of a relaxed structure of Cs3SbH.

Lattice parameters (Å, degrees): 6.0317 6.0317 6.0317 90.00 90.00 90.00
Site moments in Bohr magnetons follow the coordinates.
Element x y z (fractional)
Cs1 0.0000 0.5000 0.0000  0.01
Cs2 0.0000 0.0000 0.5000  0.01
Cs3 0.5000 0.0000 0.0000  0.01
Sb1 0.5000 0.5000 0.5000  0.30
H1 0.0000 0.0000 0.0000  0.00

## Properties
- M_tot (μB/cell) = 1.00
- distance to the lowest polymorph of the same formula (eV per atom) = 0.0078

***

# 7
The following is a DFT calculation (GGA-PBE) of a relaxed structure of Ta5NbGe6.

Lattice parameters (Å, degrees): 6.4545 6.4350 6.4391 60.02 80.41 70.52
Element x y z (fractional)
Ta1 0.5000 0.1635 0.6731
Ta2 0.0000 0.3330 0.3340
Ta3 0.5000 0.5000 0.0000
Ta4 0.0000 0.6670 0.6660
Ta5 0.5000 0.8365 0.3269
Nb1 0.0000 0.0000 0.0000
Ge1 0.7484 0.0838 0.3353
Ge2 0.2516 0.5808 0.3353
Ge3 0.2484 0.2525 0.0000
Ge4 0.7516 0.7475 0.0000
Ge5 0.7484 0.4192 0.6647
Ge6 0.2516 0.9162 0.6647

## Properties
- M_tot (μB/cell) = 0.00
- formation enthalpy at 0 K (eV/atom) = 0.07

***

# 8
The following is a DFT calculation (GGA-PBE) of a relaxed structure of Mn2AgSnSe4.

Lattice parameters (Å, degrees): 6.0051 6.0051 7.4451 113.77 113.77 90.03
Site moments in Bohr magnetons follow the coordinates.
Element x y z (fractional)
Mn1 0.7501 0.2501 0.5002  4.15
Mn2 0.2501 0.7501 0.5002  4.15
Ag1 0.0000 0.0000 0.0000  0.03
Sn1 0.5001 0.5001 0.0002  -0.05
Se1 0.6172 0.6172 0.7247  -0.04
Se2 0.3827 0.8926 0.2753  -0.04
Se3 0.8926 0.3827 0.2753  -0.04
Se4 0.1075 0.1075 0.7247  -0.04

## Properties
- M_tot (μB/cell) = 8.99
- E_form (uncorrected) (meV per atom) = -331.0

***

# 9
The following is a DFT calculation (GGA-PBE) of a relaxed structure of PmInHgPb.

Lattice parameters (Å, degrees): 5.4261 5.4261 5.4261 60.00 60.00 60.00
Element x y z (fractional)
Pb1 0.5000 0.5000 0.5000
In1 0.2500 0.2500 0.2500
Hg1 0.7500 0.7500 0.7500
Pm1 0.0000 0.0000 0.0000

## Properties
- M_tot (μB/cell) = 0.00
- formation enthalpy at 0 K (eV/atom) = -0.24
- distance to the lowest polymorph of the same formula (eV per atom) = 0.1775

***

# 10
The following is a DFT calculation (GGA-PBE) of a relaxed structure of Si2HgSe.

Lattice parameters (Å, degrees): 3.5647 3.5647 6.8952 90.00 90.00 90.00
Element x y z (fractional)
Hg1 0.0000 0.0000 0.5204
Se1 0.5000 0.5000 0.7446
Si1 0.0000 0.0000 0.1561
Si2 0.5000 0.5000 0.0789

## Properties
- M_tot (μB/cell) = 0.00
- E_form (uncorrected) (meV per atom) = 149.5
- distance to the lowest polymorph of the same formula (eV per atom) = 0.0000

***

# 11
The following is a DFT calculation (GGA-PBE) of a relaxed structure of PrDy3Cl.

Lattice parameters (Å, degrees): 5.3233 5.3233 5.3233 90.00 90.00 90.00
Element x y z (fractional)
Pr1 0.5000 0.5000 0.5000
Cl1 0.0000 0.0000 0.0000
Dy1 0.0000 0.5000 0.0000
Dy2 0.0000 0.0000 0.5000
Dy3 0.5000 0.0000 0.0000

## Properties
- M_tot (μB/cell) = 0.00
- E_form (uncorrected) (meV per atom) = -459.1

***

# 12
The following is a DFT calculation (GGA-PBE) of a relaxed structure of Ca2PmGa.

Lattice parameters (Å, degrees): 3.7088 3.7088 11.0796 80.36 80.36 60.00
Element x y z (fractional)
Ca1 0.0690 0.0690 0.7930
Ca2 0.2639 0.2639 0.2083
Pm1 0.5009 0.5009 0.4974
Ga1 0.6662 0.6662 0.0014

## Properties
- M_tot (μB/cell) = 0.00
- formation enthalpy at 0 K (eV/atom) = -0.07
- distance to the lowest polymorph of the same formula (eV per atom) = 0.1424

***

# 13
The following is a DFT calculation (GGA-PBE) of a relaxed structure of SnRh3Br.

Lattice parameters (Å, degrees): 4.6563 4.6563 4.6563 90.00 90.00 90.00
Element x y z (fractional)
Rh1 0.0000 0.5000 0.0000
Rh2 0.0000 0.0000 0.5000
Rh3 0.5000 0.0000 0.0000
Sn1 0.5000 0.5000 0.5000
Br1 0.0000 0.0000 0.0000

## Properties
- M_tot (μB/cell) = 0.00
- E_form (uncorrected) (meV per atom) = 799.6
- distance to the lowest polymorph of the same formula (eV per atom) = 0.0000

***

# 14
The following is a DFT calculation (GGA-PBE) of a relaxed structure of Sm4HgPdAu2.

Lattice parameters (Å, degrees): 5.2085 5.2085 8.9930 73.17 73.17 60.00
Element x y z (fractional)
Sm1 0.3800 0.3800 0.8599
Sm2 0.8707 0.8707 0.3880
Sm3 0.1293 0.1293 0.6120
Sm4 0.6200 0.6200 0.1401
Hg1 0.0000 0.0000 0.0000
Pd1 0.5000 0.5000 0.5000
Au1 0.7450 0.7450 0.7649
Au2 0.2550 0.2550 0.2351

## Properties
- M_tot (μB/cell) = 0.00
- formation enthalpy at 0 K (eV/atom) = -0.71

***

# 15
The following is a DFT calculation (GGA-PBE) of a relaxed structure of MgGa2AgRh.

Lattice parameters (Å, degrees): 4.7314 4.9083 4.7314 90.00 90.00 90.00
Element x y z (fractional)
Mg1 0.0000 0.5000 0.0000
Rh1 0.5000 0.5000 0.5000
Ga1 0.0000 0.0000 0.5000
Ga2 0.5000 0.0000 0.0000
Ag1 0.0000 0.0000 0.0000

## Properties
- M_tot (μB/cell) = 0.00
- formation enthalpy at 0 K (eV/atom) = 0.65
- distance to the lowest polymorph of the same formula (eV per atom) = 0.0000

***

# 16
The following is a DFT calculation (GGA-PBE) of a relaxed structure of K2TlHAu.

Lattice parameters (Å, degrees): 5.1803 5.1803 5.0505 90.00 90.00 90.00
Element x y z (fractional)
H1 0.0000 0.0000 0.0000
Tl1 0.0000 0.0000 0.5000
Au1 0.5000 0.5000 0.5000
K1 0.0000 0.5000 0.0000
K2 0.5000 0.0000 0.0000

## Properties
- M_tot (μB/cell) = 0.00
- distance to the lowest polymorph of the same formula (eV per atom) = 0.0000